Here is PuPa2Te after structural relaxation from Alexandria. Energies are from PBE.

- space group = P4/mmm (123)
- polymorph energy (0 for the lowest one) (eV per atom) = 0.0000

Cell lengths 4.5391, 4.5391, 4.6289 Å; angles 90.00, 90.00, 90.00 degrees
Last column: nearest neighbours and their distance in Å.
Fractional positions:
Pu1 0.0000 0.0000 0.0000  4 Te 3.21, 8 Pa 3.24
Pa1 0.0000 0.5000 0.5000  4 Pa 3.21, 4 Te 3.24, 4 Pu 3.24
Pa2 0.5000 0.0000 0.5000  4 Pa 3.21, 4 Te 3.24, 4 Pu 3.24
Te1 0.5000 0.5000 0.0000  4 Pu 3.21, 8 Pa 3.24


Here is PuPa2Te4 after structural relaxation from Alexandria. Energies are from PBE.

- space group = Cmcm (63)
- polymorph energy (0 for the lowest one) (eV per atom) = 0.0804

Cell lengths 7.2555, 7.2555, 15.3642 Å; angles 90.00, 90.00, 146.18 degrees
Last column: nearest neighbours and their distance in Å.
Fractional positions:
Pu1 0.0992 0.9008 0.7500  6 Te 3.16-3.19
Pu2 0.9008 0.0992 0.2500  6 Te 3.16-3.19
Pa1 0.3520 0.6480 0.5597  6 Te 3.07-3.12
Pa2 0.3520 0.6480 0.9403  6 Te 3.07-3.12
Pa3 0.6480 0.3520 0.0597  6 Te 3.07-3.12
Pa4 0.6480 0.3520 0.4403  6 Te 3.07-3.12
Te1 0.0000 0.0000 0.0000  4 Pa 3.08
Te2 0.0000 0.0000 0.5000  4 Pa 3.08
Te3 0.2871 0.7129 0.1330  3 Pa 3.07-3.09, 2 Pu 3.19
Te4 0.2871 0.7129 0.3670  3 Pa 3.07-3.09, 2 Pu 3.19
Te5 0.4296 0.5704 0.7500  2 Pa 3.12, 2 Pu 3.16
Te6 0.5704 0.4296 0.2500  2 Pa 3.12, 2 Pu 3.16
Te7 0.7129 0.2871 0.6330  3 Pa 3.07-3.09, 2 Pu 3.19
Te8 0.7129 0.2871 0.8670  3 Pa 3.07-3.09, 2 Pu 3.19


Here is Pu2PaTe6 after structural relaxation from Alexandria. Energies are from PBE.

- space group = P4_2/mnm (136)

Cell lengths 7.2194, 7.2194, 13.6128 Å; angles 90.00, 90.00, 90.00 degrees
Last column: nearest neighbours and their distance in Å.
Fractional positions:
Pu1 0.0000 0.0000 0.1665  6 Te 3.08-3.09
Pu2 0.0000 0.0000 0.8335  6 Te 3.08-3.09
Pu3 0.5000 0.5000 0.3335  6 Te 3.08-3.09
Pu4 0.5000 0.5000 0.6665  6 Te 3.08-3.09
Pa1 0.0000 0.0000 0.5000  6 Te 2.99-3.02
Pa2 0.5000 0.5000 0.0000  6 Te 2.99-3.02
Te1 0.1982 0.1982 0.3381  1 Pa 2.99, 2 Pu 3.08-3.09
Te2 0.1982 0.1982 0.6619  1 Pa 2.99, 2 Pu 3.08-3.09
Te3 0.2046 0.2046 0.0000  1 Pa 3.02, 2 Pu 3.08
Te4 0.2954 0.7046 0.5000  1 Pa 3.02, 2 Pu 3.08
Te5 0.3018 0.6982 0.1619  1 Pa 2.99, 2 Pu 3.08-3.09
Te6 0.3018 0.6982 0.8381  1 Pa 2.99, 2 Pu 3.08-3.09
Te7 0.6982 0.3018 0.1619  1 Pa 2.99, 2 Pu 3.08-3.09
Te8 0.6982 0.3018 0.8381  1 Pa 2.99, 2 Pu 3.08-3.09
Te9 0.7046 0.2954 0.5000  1 Pa 3.02, 2 Pu 3.08
Te10 0.7954 0.7954 0.0000  1 Pa 3.02, 2 Pu 3.08
Te11 0.8018 0.8018 0.3381  1 Pa 2.99, 2 Pu 3.08-3.09
Te12 0.8018 0.8018 0.6619  1 Pa 2.99, 2 Pu 3.08-3.09


Here is Pu5PaTe8 after structural relaxation from Alexandria. Energies are from PBE.

- space group = I-4 (82)

Cell lengths 8.0922, 8.0922, 8.0922 Å; angles 109.48, 109.48, 109.45 degrees
Last column: nearest neighbours and their distance in Å.
Fractional positions:
Pu1 0.0000 0.0000 0.0000  8 Te 3.16-3.34
Pu2 0.2484 0.6241 0.1275  8 Te 3.15-3.33
Pu3 0.3759 0.5034 0.6243  8 Te 3.15-3.33
Pu4 0.4966 0.1209 0.8725  8 Te 3.15-3.33
Pu5 0.8791 0.7516 0.3757  8 Te 3.15-3.33
Pa1 0.7500 0.2500 0.5000  8 Te 3.13-3.28
Te1 0.1207 0.7196 0.7487  5 Pu 3.15-3.33, 1 Pa 3.28
Te2 0.1248 0.2271 0.7483  1 Pa 3.13, 5 Pu 3.16-3.34
Te3 0.2804 0.0291 0.4011  5 Pu 3.15-3.33, 1 Pa 3.28
Te4 0.4788 0.3765 0.2517  1 Pa 3.13, 5 Pu 3.16-3.34
Te5 0.6235 0.8752 0.1023  1 Pa 3.13, 5 Pu 3.16-3.34
Te6 0.6280 0.8793 0.5989  5 Pu 3.15-3.33, 1 Pa 3.28
Te7 0.7729 0.5212 0.8977  1 Pa 3.13, 5 Pu 3.16-3.34
Te8 0.9709 0.3720 0.2513  5 Pu 3.15-3.33, 1 Pa 3.28


Here is PuPaTe after structural relaxation from Alexandria. Energies are from PBE.

- space group = Cmcm (63)
- polymorph energy (0 for the lowest one) (eV per atom) = 0.1963

Cell lengths 8.4552, 8.4552, 5.7332 Å; angles 90.00, 90.00, 156.07 degrees
Last column: nearest neighbours and their distance in Å.
Fractional positions:
Pu1 0.1682 0.8318 0.7500  2 Pa 3.13, 5 Te 3.17-3.39, 2 Pu 3.51
Pu2 0.8318 0.1682 0.2500  2 Pa 3.13, 5 Te 3.17-3.39, 2 Pu 3.51
Pa1 0.0000 0.0000 0.0000  2 Pa 2.87, 2 Pu 3.13
Pa2 0.0000 0.0000 0.5000  2 Pa 2.87, 2 Pu 3.13
Te1 0.3602 0.6398 0.7500  5 Pu 3.17-3.39, 4 Pa 3.24, 2 Te 3.51
Te2 0.6398 0.3602 0.2500  5 Pu 3.17-3.39, 4 Pa 3.24, 2 Te 3.51


Here is Pu3Pa4Te8 after structural relaxation from Alexandria. Energies are from PBE.

- space group = P-1 (2)

Cell lengths 8.5879, 8.6002, 8.7928 Å; angles 90.12, 119.11, 119.89 degrees
Last column: nearest neighbours and their distance in Å.
Fractional positions:
Pu1 0.0000 0.0000 0.0000  6 Te 3.07-3.08
Pu2 0.0000 0.0000 0.5000  6 Te 3.08
Pu3 0.0000 0.5000 0.0000  6 Te 3.07-3.08
Pa1 0.0000 0.5000 0.5000  6 Te 3.06-3.09
Pa2 0.5000 0.0000 0.5000  6 Te 3.08-3.09
Pa3 0.5000 0.5000 0.0000  6 Te 3.07-3.08
Pa4 0.5000 0.5000 0.5000  6 Te 3.16-3.19
Te1 0.0006 0.2498 0.7513  3 Pu 3.07-3.08, 3 Pa 3.08-3.09
Te2 0.0133 0.7558 0.7557  2 Pa 3.06-3.16, 3 Pu 3.08
Te3 0.4994 0.2418 0.7582  3 Pa 3.07-3.18, 2 Pu 3.08
Te4 0.5003 0.2406 0.2399  4 Pa 3.07-3.19, 1 Pu 3.08
Te5 0.4997 0.7594 0.7601  4 Pa 3.07-3.19, 1 Pu 3.08
Te6 0.5006 0.7582 0.2418  3 Pa 3.07-3.18, 2 Pu 3.08
Te7 0.9867 0.2442 0.2443  2 Pa 3.06-3.16, 3 Pu 3.08
Te8 0.9994 0.7502 0.2487  3 Pu 3.07-3.08, 3 Pa 3.08-3.09


no.,formation energy from raw total energies (meV per atom),volume (Å³ per atom),size of the total moment (μB/atom)
1,-343,23.8,1.135
2,-770,32.2,0.414
3,-722,39.4,1.011
4,-1059,29.1,2.071
5,-216,27.7,1.995
6,-843,31.0,0.208